{"formula": "CoNiO2", "functional": "PBE+U", "state": "optimized geometry", "rho_g_cm3": 6.933, "dft_energy_ev_per_cell": -17.223, "space_group": "Fm-3m (225)", "n_ef_per_ev_cell": 5.361, "lattice": [[-0.0936, -3.4668, 1.2913], [-1.2088, -0.6634, 3.4341], [-3.2490, -1.6925, 0.5233]], "species": ["O", "Co", "Ni", "O"], "frac_coords": [[0.2500, 0.2500, 0.2500], [0.0000, 0.0000, 0.0000], [0.5000, 0.5000, 0.5000], [0.7500, 0.7500, 0.7500]]}